1.
The following is a DFT calculation (PBE-GGA) of a geometry-optimized Hf4CdCo structure.

As for the crystal system: monoclinic. For the total magnetization, the calculation gives 0.0 μB/f.u. The formation energy comes out at 1.33 eV per formula unit. The calculation puts the total energy at -7.7507 eV per atom. The value obtained for the calculated volume is 22.61 Å³ per atom.

The space group is P2/m (No. 10) and the conventional cell measures 4.966, 3.879 and 7.129 Å, with angles of 90.00, 98.86 and 90.00 degrees. The inequivalent atoms are Hf at (0.053, 0.000, 0.306), Hf at (0.441, 0.500, 0.714), Cd at (0.000, 0.500, 0.000) and Co at (0.500, 0.000, 0.500).



2.
The following is a DFT calculation (PBE-GGA) of a geometry-optimized PrNd5Si4 structure.

As for the crystal system: monoclinic. For the total magnetization, the calculation gives 0.0 μB/f.u. The calculation puts the total energy at -5.5141 eV per atom. The value obtained for the calculated volume is 28.18 Å³ per atom.

The space group is C2/m (No. 12) and the conventional cell measures 15.593, 5.155 and 7.011 Å, with angles of 90.00, 90.19 and 90.00 degrees. The inequivalent atoms are Pr at (0.000, 0.000, 0.000), Nd at (0.000, 0.000, 0.500), Nd at (0.165, 0.500, 0.509), Nd at (0.165, 0.500, 0.993), Si at (0.009, 0.500, 0.252) and Si at (0.178, 0.000, 0.750).



3.
The following is a DFT calculation (PBE-GGA) of a geometry-optimized BeSi2Pb structure.

As for the crystal system: cubic. For the total magnetization, the calculation gives 0.0 μB/f.u. The calculation puts the total energy at -3.6504 eV per atom. The value obtained for the calculated volume is 18.96 Å³ per atom.

The space group is Fm-3m (No. 225) and the conventional cell measures 6.719, 6.719 and 6.719 Å, with angles of 90.00, 90.00 and 90.00 degrees. The inequivalent atoms are Be at (0.000, 0.000, 0.000), Si at (0.250, 0.250, 0.250) and Pb at (0.000, 0.000, 0.500).



4.
The following is a DFT calculation (PBE-GGA) of a geometry-optimized LiNi2Cl6 structure.

As for the crystal system: monoclinic. For the total magnetization, the calculation gives 3.0 μB/f.u. The calculation puts the total energy at -3.5132 eV per atom. The value obtained for the calculated volume is 22.15 Å³ per atom.

The space group is C2/m (No. 12) and the conventional cell measures 12.643, 3.517 and 10.185 Å, with angles of 90.00, 118.30 and 90.00 degrees. The inequivalent atoms are Li at (0.000, 0.000, 0.000), Ni at (0.162, 0.500, 0.333), Cl at (0.021, 0.000, 0.263), Cl at (0.160, 0.500, 0.113) and Cl at (0.186, 0.500, 0.574).



5.
The following is a DFT calculation (PBE-GGA) of a geometry-optimized TcW2Br structure.

As for the crystal system: orthorhombic. For the total magnetization, the calculation gives 0.0 μB/f.u. The calculation puts the total energy at -8.7859 eV per atom. The value obtained for the calculated volume is 17.16 Å³ per atom.

The space group is Cmm2 (No. 35) and the conventional cell measures 3.155, 4.833 and 9.003 Å, with angles of 90.00, 90.00 and 90.00 degrees. The inequivalent atoms are Tc at (0.000, 0.000, 0.000), W at (0.000, 0.000, 0.466), W at (0.000, 0.500, 0.227) and Br at (0.000, 0.500, 0.726).



6.
The following is a DFT calculation (PBE-GGA) of a geometry-optimized CaZnSiSF structure.

As for the crystal system: monoclinic. For the total magnetization, the calculation gives 0.0 μB/f.u. The calculation puts the total energy at -4.1019 eV per atom. The value obtained for the calculated volume is 19.62 Å³ per atom.

The space group is Cm (No. 8) and the conventional cell measures 7.175, 5.313 and 6.209 Å, with angles of 90.00, 124.03 and 90.00 degrees. The inequivalent atoms are Ca at (0.000, 0.000, 0.000), Zn at (0.300, 0.500, 0.410), Si at (0.322, 0.000, 0.570), S at (0.382, 0.000, 0.968) and F at (0.112, 0.500, 0.706).



7.
The following is a DFT calculation (PBE-GGA) of a geometry-optimized FeCo2Tc structure.

As for the crystal system: tetragonal. For the total magnetization, the calculation gives 2.8 μB/f.u. The formation energy comes out at 0.22 eV per formula unit. The calculation puts the total energy at -8.2045 eV per atom. The value obtained for the calculated volume is 11.64 Å³ per atom.

The space group is I4/mmm (No. 139) and the conventional cell measures 3.605, 3.605 and 7.161 Å, with angles of 90.00, 90.00 and 90.00 degrees. The inequivalent atoms are Fe at (0.000, 0.000, 0.000), Co at (0.000, 0.500, 0.250) and Tc at (0.000, 0.000, 0.500).



8.
The following is a DFT calculation (PBE-GGA) of a geometry-optimized NdSbPt structure.

As for the crystal system: trigonal. For the total magnetization, the calculation gives 0.0 μB/f.u. The calculation puts the total energy at -6.0759 eV per atom. The value obtained for the calculated volume is 24.90 Å³ per atom.

The space group is P3m1 (No. 156) and the conventional cell measures 4.5437, 4.5437 and 4.1784 Å, with angles of 90.00, 90.00 and 120.00 degrees. The inequivalent atoms are Nd at (0.0000, 0.0000, 0.0000), Sb at (0.6667, 0.3333, 0.4887) and Pt at (0.3333, 0.6667, 0.5554).



9.
The following is a DFT calculation (PBE-GGA) of a geometry-optimized TePd2Cl2 structure.

As for the crystal system: tetragonal. For the total magnetization, the calculation gives 0.0 μB/f.u. The calculation puts the total energy at -3.3692 eV per atom. The value obtained for the calculated volume is 20.66 Å³ per atom.

The space group is P4/mbm (No. 127) and the conventional cell measures 7.852, 7.852 and 3.352 Å, with angles of 90.00, 90.00 and 90.00 degrees. The inequivalent atoms are Te at (0.000, 0.000, 0.000), Pd at (0.198, 0.302, 0.000) and Cl at (0.134, 0.634, 0.500).



10.
The following is a DFT calculation (PBE-GGA) of a geometry-optimized NdAgHgPd structure.

As for the crystal system: cubic. For the total magnetization, the calculation gives 0.0 μB/f.u. The formation energy comes out at -1.64 eV per formula unit. The calculation puts the total energy at -3.6888 eV per atom. The value obtained for the calculated volume is 21.85 Å³ per atom.

The space group is F-43m (No. 216) and the conventional cell measures 7.044, 7.044 and 7.044 Å, with angles of 90.00, 90.00 and 90.00 degrees. The inequivalent atoms are Nd at (0.000, 0.000, 0.000), Ag at (0.250, 0.250, 0.250), Hg at (0.000, 0.000, 0.500) and Pd at (0.250, 0.250, 0.750).